KBaIn2, relaxed, DFT PBE-GGA; calculated density = 4.1 g cm⁻³; ΔH_f (0 K) = -0.11 eV/atom; D(E_F) = 3.6 states/eV/cell
1.0
4.0465 0.0000 0.0000
0.0000 4.0465 0.0000
0.0000 0.0000 10.1374
K Ba In
1 1 2
direct
0.0000 0.0000 0.0000
0.5000 0.5000 0.3888
0.0000 0.0000 0.6114
0.5000 0.5000 0.7663